This record from the Alexandria database describes a PBEsol-optimized structure of In2ReSb. The functional is SCAN.

Computed properties:
* calculated total energy: -43.39 eV per atom
* total magnetization: 0.000 Bohr magnetons per cell
* calculated volume: 23.55 A^3/atom
* crystal system: monoclinic
* Fermi-level density of states: 3.53 states/eV/f.u.

Lattice parameters (Å, degrees): 3.0686 5.2393 6.6932 112.62 90.00 107.03
Last column: nearest neighbours and their distance in Å.
Sites, in units of the cell vectors:
Sb 0.1525 0.3050 0.7413  2 Re 2.65, 1 In 2.95
In 0.8129 0.6258 0.3580  3 Re 2.69-2.79
In 0.9820 0.9640 0.0127  2 Re 2.78, 1 Sb 2.95, 2 In 3.07
Re 0.5526 0.1053 0.3880  2 Sb 2.65, 5 In 2.69-2.79